(1)
BaInBiPb2 | PBE | relaxed

```
5
Lattice="6.2855 0.0000 0.0000 0.0000 6.2855 0.0000 0.0000 0.0000 6.2036" Properties=species:S:1:pos:R:3 pbc="T T T"
Ba 0.0000 0.0000 0.0000
In 0.0000 0.0000 3.1018
Bi 3.1428 3.1428 3.1018
Pb 0.0000 3.1428 0.0000
Pb 3.1428 0.0000 0.0000
```

Summary:
E_form: 19.90 kcal/mol of atoms
Density: 5.9 g cm⁻³
SG: No. 123
Total magnetization: 0.00 Bohr magnetons per cell

---

(2)
BaInBi2Pb2 | PBE | relaxed

```
12
Lattice="5.1860 0.0000 0.0000 0.0000 10.0787 0.0000 0.0000 0.0000 8.2269" Properties=species:S:1:pos:R:3 pbc="T T T"
Ba 0.0000 0.6377 0.0000
Ba 0.0000 9.4410 4.1135
In 2.5930 1.8112 5.6090
In 2.5930 8.2676 1.4955
Bi 0.0000 3.5329 6.0408
Bi 0.0000 6.5458 1.9274
Bi 2.5930 1.3815 2.3811
Bi 2.5930 8.6973 6.4945
Pb 0.0000 3.4507 2.7747
Pb 0.0000 6.6280 6.8881
Pb 2.5930 4.0519 0.2712
Pb 2.5930 6.0268 4.3847
```

Summary:
E_form: -5.67 kcal/mol of atoms
Density: 8.4 g cm⁻³
SG: No. 26
Total magnetization: 0.00 Bohr magnetons per cell

---

(3)
Ba2In3BiPd4 | PBE | relaxed

```
10
Lattice="4.9000 0.0000 0.0000 0.0000 4.9000 0.0000 0.0000 0.0000 10.7617" Properties=species:S:1:pos:R:3 pbc="T T T"
Ba 0.0000 2.4500 2.5752
Ba 2.4500 0.0000 8.1865
In 0.0000 2.4500 9.5208
In 2.4500 0.0000 1.2409
In 2.4500 2.4500 5.3809
Bi 0.0000 0.0000 5.3809
Pd 0.0000 0.0000 0.0000
Pd 0.0000 2.4500 6.7895
Pd 2.4500 0.0000 3.9722
Pd 2.4500 2.4500 0.0000
```

Summary:
E_form: -13.95 kcal/mol of atoms
Density: 8.1 g cm⁻³
SG: No. 115
Total magnetization: 0.00 Bohr magnetons per cell

---

(4)
Ba2InBi3Pd4 | PBE | relaxed

```
10
Lattice="4.8942 0.0000 0.0000 0.0000 4.8942 0.0000 0.0000 0.0000 11.1099" Properties=species:S:1:pos:R:3 pbc="T T T"
Ba 0.0000 2.4471 2.6816
Ba 2.4471 0.0000 8.4283
In 0.0000 0.0000 5.5549
Bi 0.0000 2.4471 9.7316
Bi 2.4471 0.0000 1.3782
Bi 2.4471 2.4471 5.5549
Pd 0.0000 0.0000 0.0000
Pd 0.0000 2.4471 6.9397
Pd 2.4471 0.0000 4.1702
Pd 2.4471 2.4471 0.0000
```

Summary:
E_form: -14.47 kcal/mol of atoms
Density: 9.0 g cm⁻³
SG: No. 115
Total magnetization: 0.00 Bohr magnetons per cell

---

- density of number 3 (Ba2In3BiPd4)?
  8.1 g cm⁻³